The following is a DFT calculation (GGA-PBE) of Eu2DyH after structural relaxation.

Calculated values
**SG**: No. 123
**Crystal system**: tetragonal
**Total magnetization**: 3.6643 μB/atom
**VASP energy**: -28.27 eV per formula unit

Cell lengths 3.4246, 3.4246, 9.1173 Å; angles 90.00, 90.00, 90.00 degrees
Fractional positions:
Eu: 0.0000 0.0000 0.1842
Eu: 0.0000 0.0000 0.8158
Dy: 0.5000 0.5000 0.5000
H: 0.5000 0.5000 0.0000

=====

The following is a DFT calculation (GGA-PBE) of SmTl2InCl6 after structural relaxation.

Calculated values
**Energy relative to the elements, uncorrected**: -1.500 eV/atom
**SG**: No. 146
**Crystal system**: trigonal
**Total magnetization**: 0.0000 μB/atom
**VASP energy**: -38.27 eV per formula unit

Cell lengths 8.0874, 8.0874, 8.0874 Å; angles 58.25, 58.25, 58.25 degrees
Fractional positions:
Sm: 0.0000 0.0000 0.0000
Tl: 0.2102 0.2102 0.2102
Tl: 0.7016 0.7016 0.7016
In: 0.4906 0.4906 0.4906
Cl: 0.1124 0.8036 0.3427
Cl: 0.2456 0.6668 0.8770
Cl: 0.3427 0.1124 0.8036
Cl: 0.6668 0.8770 0.2456
Cl: 0.8036 0.3427 0.1124
Cl: 0.8770 0.2456 0.6668

=====

The following is a DFT calculation (GGA-PBE) of BSbSe2 after structural relaxation.

Calculated values
**Energy relative to the elements, uncorrected**: -0.072 eV/atom
**SG**: No. 1
**Crystal system**: triclinic
**Total magnetization**: 0.0000 μB/atom
**VASP energy**: -18.06 eV per formula unit

Cell lengths 4.1507, 6.7996, 7.8556 Å; angles 68.08, 83.42, 87.73 degrees
Fractional positions:
B: 0.0000 0.0000 0.0000
B: 0.3278 0.9236 0.1257
Sb: 0.3958 0.4837 0.8312
Sb: 0.7744 0.4888 0.4929
Se: 0.1797 0.1730 0.7271
Se: 0.1979 0.8012 0.4152
Se: 0.6465 0.1739 0.1071
Se: 0.6917 0.7472 0.0414

=====

The following is a DFT calculation (GGA-PBE) of Ca2HIrSe after structural relaxation.

Calculated values
**SG**: No. 123
**Crystal system**: tetragonal
**Total magnetization**: 0.0679 μB/atom
**VASP energy**: -23.54 eV per formula unit

Cell lengths 5.0484, 5.0484, 3.6115 Å; angles 90.00, 90.00, 90.00 degrees
Fractional positions:
Ca: 0.0000 0.5000 0.0000
Ca: 0.5000 0.0000 0.0000
H: 0.0000 0.0000 0.0000
Ir: 0.0000 0.0000 0.5000
Se: 0.5000 0.5000 0.5000

=====

The following is a DFT calculation (GGA-PBE) of Si2BiPd2 after structural relaxation.

Calculated values
**Energy relative to the elements, uncorrected**: -0.292 eV/atom
**SG**: No. 139
**Crystal system**: tetragonal
**Total magnetization**: 0.0000 μB/atom
**VASP energy**: -26.57 eV per formula unit

Cell lengths 5.7334, 5.7334, 5.7334 Å; angles 135.74, 135.74, 64.38 degrees
Fractional positions:
Si: 0.1214 0.1214 0.0000
Si: 0.8786 0.8786 0.0000
Bi: 0.5000 0.5000 0.0000
Pd: 0.2500 0.7500 0.5000
Pd: 0.7500 0.2500 0.5000

=====

The following is a DFT calculation (GGA-PBE) of Ac2RhAu after structural relaxation.

Calculated values
**SG**: No. 11
**Crystal system**: monoclinic
**Total magnetization**: 0.0000 μB/atom
**Energy of formation**: -0.761 eV per atom
**VASP energy**: -21.89 eV per formula unit

Cell lengths 6.3570, 4.5179, 8.5641 Å; angles 90.00, 110.55, 90.00 degrees
Fractional positions:
Ac: 0.2237 0.2500 0.4452
Ac: 0.2287 0.2500 0.9203
Ac: 0.7713 0.7500 0.0797
Ac: 0.7763 0.7500 0.5548
Rh: 0.3026 0.7500 0.7083
Rh: 0.6974 0.2500 0.2917
Au: 0.3322 0.7500 0.2090
Au: 0.6678 0.2500 0.7910

=====

The following is a DFT calculation (GGA-PBE) of La2PrIO4 after structural relaxation.

Calculated values
**Energy relative to the elements, uncorrected**: -3.155 eV/atom
**SG**: No. 123
**Crystal system**: tetragonal
**Total magnetization**: 0.0000 μB/atom
**VASP energy**: -61.26 eV per formula unit

Cell lengths 4.1412, 4.1412, 9.8601 Å; angles 90.00, 90.00, 90.00 degrees
Fractional positions:
La: 0.0000 0.0000 0.2488
La: 0.0000 0.0000 0.7512
Pr: 0.5000 0.5000 0.5000
I: 0.5000 0.5000 0.0000
O: 0.0000 0.5000 0.3515
O: 0.0000 0.5000 0.6485
O: 0.5000 0.0000 0.3515
O: 0.5000 0.0000 0.6485

=====

The following is a DFT calculation (GGA-PBE) of Te2SeBr after structural relaxation.

Calculated values
**Energy relative to the elements, uncorrected**: 0.126 eV/atom
**SG**: No. 166
**Crystal system**: trigonal
**Total magnetization**: 0.0000 μB/atom
**VASP energy**: -10.94 eV per formula unit

Cell lengths 7.8181, 7.8181, 7.8181 Å; angles 32.10, 32.10, 32.10 degrees
Fractional positions:
Te: 0.2369 0.2369 0.2369
Te: 0.7631 0.7631 0.7631
Se: 0.5000 0.5000 0.5000
Br: 0.0000 0.0000 0.0000

=====

The following is a DFT calculation (GGA-PBE) of CaReCl after structural relaxation.

Calculated values
**Energy relative to the elements, uncorrected**: 0.361 eV/atom
**SG**: No. 156
**Crystal system**: trigonal
**Total magnetization**: 0.0000 μB/atom
**VASP energy**: -15.21 eV per formula unit

Cell lengths 3.1082, 3.1082, 7.8238 Å; angles 90.00, 90.00, 120.00 degrees
Fractional positions:
Ca: 0.0000 0.0000 0.0000
Re: 0.3333 0.6667 0.6808
Cl: 0.6667 0.3333 0.2413

=====

The following is a DFT calculation (GGA-PBE) of HfB2Pt2 after structural relaxation.

Calculated values
**SG**: No. 139
**Crystal system**: tetragonal
**Total magnetization**: 0.0000 μB/atom
**Energy of formation**: -0.407 eV per atom
**VASP energy**: -37.43 eV per formula unit

Cell lengths 5.1538, 5.1538, 5.1538 Å; angles 135.23, 135.23, 65.18 degrees
Fractional positions:
Hf: 0.0000 0.0000 0.0000
B: 0.2500 0.7500 0.5000
B: 0.7500 0.2500 0.5000
Pt: 0.3518 0.3518 0.0000
Pt: 0.6482 0.6482 0.0000

=====

The following is a DFT calculation (GGA-PBE) of KHfSbTe2 after structural relaxation.

Calculated values
**Energy relative to the elements, uncorrected**: 1.326 eV/atom
**SG**: No. 123
**Crystal system**: tetragonal
**Total magnetization**: 0.0919 μB/atom
**VASP energy**: -14.83 eV per formula unit

Cell lengths 5.7304, 5.7304, 5.4873 Å; angles 90.00, 90.00, 90.00 degrees
Fractional positions:
K: 0.0000 0.0000 0.0000
Hf: 0.5000 0.5000 0.5000
Sb: 0.0000 0.0000 0.5000
Te: 0.0000 0.5000 0.0000
Te: 0.5000 0.0000 0.0000

=====

The following is a DFT calculation (GGA-PBE) of Pm2Pr3Mg3 after structural relaxation.

Calculated values
**SG**: No. 71
**Crystal system**: orthorhombic
**Total magnetization**: 0.0000 μB/atom
**Energy of formation**: -0.074 eV per atom
**VASP energy**: -29.21 eV per formula unit

Cell lengths 11.9637, 11.9637, 11.9637 Å; angles 161.26, 152.90, 33.16 degrees
Fractional positions:
Pm: 0.2355 0.2355 0.0000
Pm: 0.7645 0.7645 0.0000
Pr: 0.0000 0.0000 0.0000
Pr: 0.3765 0.8765 0.5000
Pr: 0.6235 0.1235 0.5000
Mg: 0.1179 0.6179 0.5000
Mg: 0.5000 0.5000 0.0000
Mg: 0.8821 0.3821 0.5000